{
  "formula": "CuTe",
  "functional": "PBE",
  "state": "optimized geometry",
  "lattice": [[1.267, 1.517, -6.237], [-4.717, 3.167, 3.244], [2.677, 2.745, 1.211]],
  "species": ["Te", "Te", "Te", "Cu", "Cu", "Cu"],
  "frac_coords": [[0.500, 0.000, 0.000], [0.500, 0.500, 0.000], [0.000, 0.500, 0.000], [0.333, 0.667, 0.500], [0.667, 0.333, 0.500], [0.000, 0.000, 0.000]],
  "vol_a3_per_fu": 49.7,
  "raw_formation_energy_ev_per_atom": 0.458
}